Record 1
24
Lattice="4.247 0.000 0.000 0.000 12.675 0.000 0.000 0.000 12.140" Properties=species:S:1:pos:R:3 comment="Ac3CoIr2 | the Alexandria database | PBE | relaxed" magnetic_moment_mub_per_cell=5.8 space_group="Pnma, No. 62" total_energy_ev_per_cell=-158.9 delta_e_f_ev_per_atom=-0.43 pbc="T T T"
Ac 1.062 4.846 0.761
Ac 3.185 7.828 11.379
Ac 3.185 11.184 5.309
Ac 1.062 1.491 6.831
Ac 1.062 8.809 2.451
Ac 3.185 3.866 9.689
Ac 3.185 2.471 3.619
Ac 1.062 10.203 8.521
Ac 1.062 5.685 4.565
Ac 3.185 6.989 7.575
Ac 3.185 12.023 1.505
Ac 1.062 0.652 10.635
Co 1.062 1.784 1.374
Co 3.185 10.891 10.766
Co 3.185 8.121 4.696
Co 1.062 4.554 7.444
Ir 1.062 8.635 5.665
Ir 3.185 4.040 6.475
Ir 3.185 2.298 0.405
Ir 1.062 10.377 11.735
Ir 1.062 0.314 3.819
Ir 3.185 12.361 8.321
Ir 3.185 6.651 2.251
Ir 1.062 6.024 9.889

Record 2
12
Lattice="-1.164 8.614 -1.175 -6.903 -5.411 -0.094 4.226 1.540 7.109" Properties=species:S:1:pos:R:3 comment="Ac8CoIr3 | the Alexandria database | PBE | relaxed" magnetic_moment_mub_per_cell=0.0 space_group="C2/m, No. 12" total_energy_ev_per_cell=-71.9 delta_e_f_ev_per_atom=-0.45 pbc="T T T"
Ac -0.594 0.618 5.117
Ac -3.247 4.125 0.723
Ac 2.884 3.288 5.189
Ac 2.292 7.676 4.591
Ac -1.220 4.920 4.541
Ac -2.621 -0.177 1.299
Ac -6.132 -2.932 1.249
Ac -6.725 1.455 0.651
Co 0.000 0.000 0.000
Ir -0.582 4.307 -0.587
Ir -4.033 1.601 -0.634
Ir -3.452 -2.705 -0.047

Record 3
12
Lattice="8.602 0.000 0.000 -4.301 6.140 -4.218 0.000 -0.293 8.283" Properties=species:S:1:pos:R:3 comment="Ac8Co3Ir | the Alexandria database | PBE | relaxed" magnetic_moment_mub_per_cell=0.0 space_group="C2/m, No. 12" total_energy_ev_per_cell=-65.1 delta_e_f_ev_per_atom=-0.17 pbc="T T T"
Ac 0.000 2.931 4.215
Ac 4.301 2.917 -0.150
Ac 2.196 -0.123 6.302
Ac 6.406 -0.123 6.302
Ac 4.301 2.885 4.238
Ac 0.000 2.962 -0.173
Ac -2.105 5.971 -2.237
Ac 2.105 5.971 -2.237
Co 4.301 0.000 0.000
Co 2.150 3.070 -2.109
Co -2.150 3.070 -2.109
Ir 0.000 -0.293 8.283